Entry 1:
Below is MgTa2Be after structural relaxation, with properties calculated at the PBE-GGA level.

Cell lengths 3.8156, 3.8156, 10.3155 Å; angles 79.34, 79.34, 90.00 degrees
Closest atoms and distances in Å follow each position.
Atoms (fractional coordinates):
Be (0.5000, 0.5000, 0.0000)  4 Mg 2.70, 4 Ta 2.82
Be (0.2500, 0.7500, 0.5000)  4 Mg 2.70, 4 Ta 2.82
Mg (0.0000, 0.0000, 0.0000)  4 Be 2.70, 4 Ta 2.84
Mg (0.7500, 0.2500, 0.5000)  4 Be 2.70, 4 Ta 2.84
Ta (0.6172, 0.1250, 0.2500)  4 Ta 2.66-2.74, 2 Be 2.82, 2 Mg 2.84
Ta (0.1328, 0.6250, 0.2500)  4 Ta 2.66-2.74, 2 Be 2.82, 2 Mg 2.84
Ta (0.3750, 0.3828, 0.7500)  4 Ta 2.66-2.74, 2 Be 2.82, 2 Mg 2.84
Ta (0.8750, 0.8672, 0.7500)  4 Ta 2.66-2.74, 2 Be 2.82, 2 Mg 2.84

Electronic total energy in eV/atom: -6.401
Offset from the most stable computed form in eV/f.u.: 2.900
Fermi-level density of states in states/eV per atom: 1.20
Energy relative to the elements in eV/atom: 0.856
Symmetry: I-42d, No. 122

---

Entry 2:
Below is NaPr3Tl4 after structural relaxation, with properties calculated at the PBE-GGA level.

Cell lengths 5.4660, 5.4660, 9.7120 Å; angles 73.66, 73.66, 60.00 degrees
Closest atoms and distances in Å follow each position.
Atoms (fractional coordinates):
Pr (0.2561, 0.2561, 0.2316)  8 Tl 3.28-3.61
Pr (0.7439, 0.7439, 0.7684)  8 Tl 3.28-3.61
Pr (0.5000, 0.5000, 0.5000)  8 Tl 3.36-3.44
Na (0.0000, 0.0000, 0.0000)  8 Tl 3.36-3.45
Tl (0.8750, 0.8750, 0.3751)  7 Pr 3.36-3.61, 1 Na 3.45
Tl (0.3752, 0.3752, 0.8744)  5 Pr 3.28-3.44, 3 Na 3.36
Tl (0.1250, 0.1250, 0.6249)  7 Pr 3.36-3.61, 1 Na 3.45
Tl (0.6248, 0.6248, 0.1256)  5 Pr 3.28-3.44, 3 Na 3.36

Electronic total energy in eV/atom: -3.472
Fermi-level density of states in states/eV per atom: 0.71
Energy relative to the elements in eV/atom: -0.332
Symmetry: R-3m, No. 166

---

Entry 3:
Below is RbTiSi3 after structural relaxation, with properties calculated at the PBE-GGA level.

Cell lengths 4.9298, 4.9298, 4.9298 Å; angles 90.00, 90.00, 90.00 degrees
Closest atoms and distances in Å follow each position.
Atoms (fractional coordinates):
Si (0.0000, 0.5000, 0.0000)  2 Ti 2.46
Si (0.0000, 0.0000, 0.5000)  2 Ti 2.46
Si (0.5000, 0.0000, 0.0000)  2 Ti 2.46
Rb (0.5000, 0.5000, 0.5000)  12 Si 3.49
Ti (0.0000, 0.0000, 0.0000)  6 Si 2.46

Electronic total energy in eV/atom: -4.768
Offset from the most stable computed form in eV/f.u.: 0.000
Fermi-level density of states in states/eV per atom: 0.35
Symmetry: Pm-3m, No. 221

---

Question: Which of these has the lowest Fermi-level density of states?
Answer: RbTiSi3

---

Question: Which value of Fermi-level density of states does entry 2 give?
Answer: 0.71 states/eV per atom

---

Question: Fermi-level density of states of number 3 (RbTiSi3)?
Answer: 0.35 states/eV per atom

---

Question: Which formula does entry 1 have?
Answer: MgTa2Be